The following is a PBE with a Hubbard U calculation of a geometry-optimized SmAgMoO5 structure, from Alexandria.

Unit cell a=6.385 b=6.385 c=8.664 alpha=109.70 beta=109.70 gamma=92.20
Fractional positions:
1 O 0.745 0.245 0.414
2 O 0.245 0.745 0.914
3 O 0.669 0.711 0.850
4 O 0.931 0.069 0.750
5 O 0.331 0.289 0.150
6 O 0.289 0.331 0.650
7 O 0.711 0.669 0.350
8 O 0.255 0.755 0.586
9 O 0.755 0.255 0.086
10 O 0.069 0.931 0.250
11 Sm 0.000 0.000 0.000
12 Sm 0.000 0.000 0.500
13 Ag 0.701 0.299 0.750
14 Ag 0.299 0.701 0.250
15 Mo 0.636 0.364 0.250
16 Mo 0.364 0.636 0.750

DFT total energy = -6.8018 eV per atom